# Tm2Tl2OsO6

A geometry-optimized Tm2Tl2OsO6 structure (PBE-GGA, the Alexandria database).

abc: 5.7247 5.7247 7.0508
angles: 93.80 93.80 120.41
With the nearest neighbours (Å) after each atom.
Atoms (fractional coordinates):
Tm1 0.3349 0.6651 0.5000  6 O 2.24-2.25
Tm2 0.6651 0.3349 0.5000  6 O 2.24-2.25
Tl1 0.8416 0.1584 0.0000  2 O 2.79
Tl2 0.1584 0.8416 0.0000  2 O 2.79
Os1 0.0000 0.0000 0.5000  6 O 2.02-2.05
O1 0.7216 0.7216 0.6508  1 Os 2.02, 2 Tm 2.25
O2 0.0208 0.3312 0.6492  1 Os 2.05, 2 Tm 2.24
O3 0.2784 0.2784 0.3492  1 Os 2.02, 2 Tm 2.25
O4 0.3312 0.0208 0.6492  1 Os 2.05, 2 Tm 2.24
O5 0.9792 0.6688 0.3508  1 Os 2.05, 2 Tm 2.24
O6 0.6688 0.9792 0.3508  1 Os 2.05, 2 Tm 2.24

Volume ... 198 Å³/cell
Size of the total moment ... 2.4 μB per formula unit
Formation energy without anion corrections ... -1.93 eV per atom

# TmTlOsO6

A geometry-optimized TmTlOsO6 structure (PBE-GGA, the Alexandria database).

abc: 5.5827 5.5826 5.4864
angles: 90.00 90.00 60.00
With the nearest neighbours (Å) after each atom.
Atoms (fractional coordinates):
Tm1 0.6666 0.6667 0.5000  6 O 2.21
Tl1 0.0000 0.0000 0.0000  6 O 2.73
Os1 0.3333 0.3333 0.5000  6 O 1.89
O1 0.0429 0.3661 0.3010  1 Os 1.89
O2 0.3661 0.0430 0.6989  1 Os 1.89
O3 0.5909 0.3661 0.6989  1 Os 1.89
O4 0.0429 0.5909 0.6989  1 Os 1.89
O5 0.3661 0.5909 0.3010  1 Os 1.89
O6 0.5909 0.0430 0.3010  1 Os 1.89

Volume ... 148 Å³/cell
Size of the total moment ... 0.0 μB per formula unit
Formation energy without anion corrections ... -1.60 eV per atom